VZnCrF6: relaxed, PBE with a Hubbard U.

* total energy: -5.46 eV/atom
* calculated density: 4.09 g/cm³
* total moment: 7.00 μB/f.u.

Cell: 5.353 5.353 9.248 Å, 90.00 90.00 120.00°
Last column: magnetic moment on the atom in μB.
Fractional positions:
1 F 0.661 0.994 0.870  0.00
2 V 0.667 0.333 0.750  2.74
3 F 0.006 0.668 0.870  0.00
4 Cr 0.000 0.000 0.500  3.87
5 F 0.661 0.668 0.630  0.00
6 Zn 0.333 0.667 0.750  0.02
7 F 0.668 0.006 0.370  0.00
8 F 0.994 0.661 0.370  0.00
9 Zn 0.667 0.333 0.250  0.02
10 Cr 0.000 0.000 0.000  3.87
11 F 0.006 0.339 0.630  0.00
12 F 0.339 0.006 0.130  0.00
13 V 0.333 0.667 0.250  2.74
14 F 0.332 0.339 0.870  0.00
15 F 0.332 0.994 0.630  0.00
16 F 0.339 0.332 0.370  0.00
17 F 0.668 0.661 0.130  0.00
18 F 0.994 0.332 0.130  0.00